(1)
Material: Ag2P2F
Method: DFT, GGA-PBE
State: optimized geometry

The total energy is -3.785 eV/atom. Its crystal system is tetragonal. The magnetization is 0.0 μB/f.u.

Cell lengths 6.654, 6.654, 3.863 Å; angles 90.00, 90.00, 90.00 degrees
Space group P4/mbm (No. 127)
One atom of each set of equivalent atoms:
Ag (0.214, 0.286, 0.000) [4 per cell]
P (0.109, 0.609, 0.500) [4 per cell]
F (0.000, 0.000, 0.500) [2 per cell]

=====

(2)
Material: HfSc2PaAs4
Method: DFT, GGA-PBE
State: optimized geometry

As for the formation energy: -1.188 eV/atom. Its crystal system is monoclinic. The magnetization is 0.0 μB/f.u.

Cell lengths 6.785, 3.932, 6.793 Å; angles 90.00, 109.42, 90.00 degrees
Space group P2/m (No. 10)
One atom of each set of equivalent atoms:
Hf (0.000, 0.000, 0.000) [1 per cell]
Sc (0.000, 0.500, 0.500) [1 per cell]
Sc (0.500, 0.000, 0.500) [1 per cell]
Pa (0.500, 0.500, 0.000) [1 per cell]
As (0.237, 0.000, 0.739) [2 per cell]
As (0.243, 0.500, 0.253) [2 per cell]

=====

(3)
Material: BeSb5
Method: DFT, GGA-PBE
State: optimized geometry

The total energy is -3.290 eV/atom. Its crystal system is cubic. The magnetization is 0.0 μB/f.u.

Cell lengths 8.757, 8.757, 8.757 Å; angles 90.00, 90.00, 90.00 degrees
Space group F-43m (No. 216)
One atom of each set of equivalent atoms:
Be (0.000, 0.000, 0.000) [4 per cell]
Sb (0.125, 0.125, 0.375) [16 per cell]
Sb (0.250, 0.250, 0.750) [4 per cell]

=====

- Which value of magnetization does entry 3 give?
  0.0 μB/f.u.

=====

- What is the formula in the third record?
  BeSb5

=====

- Look up the magnetization of the first one.
  0.0 μB/f.u.